(1)
Here is a relaxed YCdSn2 crystal from the Alexandria database. Energies are from GGA-PBE.

abc: 6.652 6.652 6.652
angles: 103.45 103.45 122.33
Sites, in units of the cell vectors:
Y (0.000, 0.000, 0.000)
Y (0.750, 0.250, 0.500)
Cd (0.250, 0.750, 0.500)
Cd (0.500, 0.500, 0.000)
Sn (0.154, 0.625, 0.029)
Sn (0.375, 0.404, 0.529)
Sn (0.596, 0.125, 0.971)
Sn (0.875, 0.846, 0.471)

formation energy: -4.9 kcal/mol of atoms
space group: I-42d, No. 122

(2)
Here is a relaxed PrY4 crystal from the Alexandria database. Energies are from GGA-PBE.

abc: 5.658 5.658 5.658
angles: 90.00 90.00 90.00
Sites, in units of the cell vectors:
Pr (0.000, 0.000, 0.000)
Y (0.000, 0.000, 0.500)
Y (0.000, 0.500, 0.000)
Y (0.500, 0.000, 0.000)
Y (0.500, 0.500, 0.500)

formation energy: 15.2 kcal/mol of atoms
space group: Pm-3m, No. 221
ΔE to the lowest computed polymorph: 639 meV per atom

(3)
Here is a relaxed ZnCd crystal from the Alexandria database. Energies are from GGA-PBE.

abc: 3.099 3.099 3.998
angles: 90.00 90.00 90.00
Sites, in units of the cell vectors:
Zn (0.000, 0.000, 0.000)
Cd (0.500, 0.500, 0.500)

formation energy: 2.3 kcal/mol of atoms
space group: P4/mmm, No. 123

(4)
Here is a relaxed Pm4PrNd6 crystal from the Alexandria database. Energies are from GGA-PBE.

abc: 10.056 10.056 10.056
angles: 141.23 141.23 56.00
Sites, in units of the cell vectors:
Pm (0.131, 0.131, 0.622)
Pm (0.491, 0.869, 0.000)
Pm (0.509, 0.509, 0.378)
Pm (0.869, 0.491, 0.000)
Pr (0.500, 0.500, 0.000)
Nd (0.000, 0.500, 0.500)
Nd (0.049, 0.691, 0.000)
Nd (0.309, 0.309, 0.358)
Nd (0.500, 0.000, 0.500)
Nd (0.691, 0.049, 0.000)
Nd (0.951, 0.951, 0.642)

formation energy: 6.5 kcal/mol of atoms
space group: I-42m, No. 121
ΔE to the lowest computed polymorph: 137 meV per atom

(5)
Here is a relaxed BaNdGa2Pt2 crystal from the Alexandria database. Energies are from GGA-PBE.

abc: 4.497 4.497 8.400
angles: 90.00 90.00 120.00
Sites, in units of the cell vectors:
Ba (0.000, 0.000, 0.000)
Nd (0.000, 0.000, 0.500)
Ga (0.333, 0.667, 0.283)
Ga (0.667, 0.333, 0.717)
Pt (0.333, 0.667, 0.707)
Pt (0.667, 0.333, 0.293)

formation energy: -20.8 kcal/mol of atoms
space group: P-3m1, No. 164

(6)
Here is a relaxed LiZn2CuTe crystal from the Alexandria database. Energies are from GGA-PBE.

abc: 4.616 4.616 5.469
angles: 90.00 90.00 90.00
Sites, in units of the cell vectors:
Li (0.000, 0.000, 0.000)
Zn (0.000, 0.500, 0.500)
Zn (0.500, 0.000, 0.500)
Cu (0.500, 0.500, 0.500)
Te (0.500, 0.500, 0.000)

formation energy without anion corrections: 0.02 eV per atom
space group: P4/mmm, No. 123

The E_tot results, record by record, are as follows: -4.06 -5.47 -0.99 -4.48 -5.04 -2.32 eV/atom.